Here is an optimized crystal structure of LiMoRu from Alexandria. Energies are from PBE.

CIF file:
```
data_LiMoRu
_cell_length_a 4.3003
_cell_length_b 4.3003
_cell_length_c 2.6390
_cell_angle_alpha 90.00
_cell_angle_beta 90.00
_cell_angle_gamma 120.00
_symmetry_space_group_name_H-M 'P 1'
_symmetry_Int_Tables_number 1
_symmetry_space_group_name_Hall 'P 1'
loop_
_atom_site_label
_atom_site_fract_x
_atom_site_fract_y
_atom_site_fract_z
Mo1 0.6667 0.3333 0.3725
Li1 0.0000 0.0000 0.9929
Ru1 0.3333 0.6667 0.6347
```

ΔH_f (0 K) ... 15.56 kJ/mol of atoms
Calculated total energy ... -7.179 eV per atom
Size of the total moment ... 0.00 μB/f.u.

---

Here is an optimized crystal structure of LiMo2Ru from Alexandria. Energies are from PBE.

CIF file:
```
data_LiMo2Ru
_cell_length_a 4.3221
_cell_length_b 2.6838
_cell_length_c 5.1490
_cell_angle_alpha 76.77
_cell_angle_beta 90.00
_cell_angle_gamma 90.00
_symmetry_space_group_name_H-M 'P 1'
_symmetry_Int_Tables_number 1
_symmetry_space_group_name_Hall 'P 1'
loop_
_atom_site_label
_atom_site_fract_x
_atom_site_fract_y
_atom_site_fract_z
Ru1 0.5000 0.2500 0.2500
Li1 0.5000 0.7500 0.7500
Mo1 0.0000 0.5161 0.4996
Mo2 0.0000 0.9839 0.0004
```

ΔH_f (0 K) ... 23.12 kJ/mol of atoms
Calculated total energy ... -7.973 eV per atom
Size of the total moment ... 0.00 μB/f.u.

---

Here is an optimized crystal structure of LiMo2Ru from Alexandria. Energies are from PBE.

CIF file:
```
data_LiMo2Ru
_cell_length_a 7.1401
_cell_length_b 7.1401
_cell_length_c 5.6580
_cell_angle_alpha 50.88
_cell_angle_beta 50.88
_cell_angle_gamma 90.00
_symmetry_space_group_name_H-M 'P 1'
_symmetry_Int_Tables_number 1
_symmetry_space_group_name_Hall 'P 1'
loop_
_atom_site_label
_atom_site_fract_x
_atom_site_fract_y
_atom_site_fract_z
Ru1 0.0000 0.0000 0.0000
Ru2 0.7500 0.2500 0.5000
Mo1 0.3750 0.3423 0.7500
Mo2 0.8750 0.9077 0.7500
Mo3 0.0923 0.6250 0.2500
Mo4 0.6577 0.1250 0.2500
Li1 0.2500 0.7500 0.5000
Li2 0.5000 0.5000 0.0000
```

ΔH_f (0 K) ... 67.99 kJ/mol of atoms
Calculated total energy ... -7.508 eV per atom
Size of the total moment ... 0.00 μB/f.u.

---

Here is an optimized crystal structure of LiMo2Ru from Alexandria. Energies are from PBE.

CIF file:
```
data_LiMo2Ru
_cell_length_a 2.7472
_cell_length_b 2.7472
_cell_length_c 7.9863
_cell_angle_alpha 90.00
_cell_angle_beta 90.00
_cell_angle_gamma 90.00
_symmetry_space_group_name_H-M 'P 1'
_symmetry_Int_Tables_number 1
_symmetry_space_group_name_Hall 'P 1'
loop_
_atom_site_label
_atom_site_fract_x
_atom_site_fract_y
_atom_site_fract_z
Mo1 0.0000 0.0000 0.9996
Mo2 0.5000 0.5000 0.2723
Ru1 0.0000 0.0000 0.4961
Li1 0.5000 0.5000 0.7320
```

ΔH_f (0 K) ... 32.05 kJ/mol of atoms
Calculated total energy ... -7.881 eV per atom
Size of the total moment ... 0.00 μB/f.u.

---

Here is an optimized crystal structure of LiMo2Ru from Alexandria. Energies are from PBE.

CIF file:
```
data_LiMo2Ru
_cell_length_a 5.1646
_cell_length_b 5.1646
_cell_length_c 4.2586
_cell_angle_alpha 65.66
_cell_angle_beta 65.66
_cell_angle_gamma 34.63
_symmetry_space_group_name_H-M 'P 1'
_symmetry_Int_Tables_number 1
_symmetry_space_group_name_Hall 'P 1'
loop_
_atom_site_label
_atom_site_fract_x
_atom_site_fract_y
_atom_site_fract_z
Mo1 0.0101 0.0101 0.9897
Mo2 0.4899 0.4899 0.5103
Li1 0.2500 0.2500 0.2500
Ru1 0.7500 0.7500 0.7500
```

ΔH_f (0 K) ... 20.46 kJ/mol of atoms
Calculated total energy ... -8.001 eV per atom
Size of the total moment ... 0.00 μB/f.u.

---

Here is an optimized crystal structure of LiMo2Ru from Alexandria. Energies are from PBE.

CIF file:
```
data_LiMo2Ru
_cell_length_a 4.8542
_cell_length_b 4.8542
_cell_length_c 2.7183
_cell_angle_alpha 90.00
_cell_angle_beta 90.00
_cell_angle_gamma 114.57
_symmetry_space_group_name_H-M 'P 1'
_symmetry_Int_Tables_number 1
_symmetry_space_group_name_Hall 'P 1'
loop_
_atom_site_label
_atom_site_fract_x
_atom_site_fract_y
_atom_site_fract_z
Ru1 0.5000 0.0000 0.5000
Mo1 0.5000 0.5000 0.0000
Mo2 0.0000 0.0000 0.0000
Li1 0.0000 0.5000 0.5000
```

ΔH_f (0 K) ... 29.44 kJ/mol of atoms
Calculated total energy ... -7.908 eV per atom
Size of the total moment ... 0.00 μB/f.u.

---

Here is an optimized crystal structure of LiMo2Ru from Alexandria. Energies are from PBE.

CIF file:
```
data_LiMo2Ru
_cell_length_a 3.8236
_cell_length_b 3.8236
_cell_length_c 3.9247
_cell_angle_alpha 90.00
_cell_angle_beta 90.00
_cell_angle_gamma 90.00
_symmetry_space_group_name_H-M 'P 1'
_symmetry_Int_Tables_number 1
_symmetry_space_group_name_Hall 'P 1'
loop_
_atom_site_label
_atom_site_fract_x
_atom_site_fract_y
_atom_site_fract_z
Ru1 0.5000 0.0000 0.5000
Li1 0.0000 0.5000 0.5000
Mo1 0.0000 0.0000 0.0000
Mo2 0.5000 0.5000 0.0000
```

ΔH_f (0 K) ... 29.81 kJ/mol of atoms
Calculated total energy ... -7.904 eV per atom
Size of the total moment ... 0.00 μB/f.u.

---

Here is an optimized crystal structure of LiMo3Ru from Alexandria. Energies are from PBE.

CIF file:
```
data_LiMo3Ru
_cell_length_a 4.1821
_cell_length_b 4.1821
_cell_length_c 4.1821
_cell_angle_alpha 90.00
_cell_angle_beta 90.00
_cell_angle_gamma 90.00
_symmetry_space_group_name_H-M 'P 1'
_symmetry_Int_Tables_number 1
_symmetry_space_group_name_Hall 'P 1'
loop_
_atom_site_label
_atom_site_fract_x
_atom_site_fract_y
_atom_site_fract_z
Mo1 0.5000 0.0000 0.0000
Mo2 0.0000 0.5000 0.0000
Mo3 0.0000 0.0000 0.5000
Li1 0.0000 0.0000 0.0000
Ru1 0.5000 0.5000 0.5000
```

ΔH_f (0 K) ... 121.26 kJ/mol of atoms
Calculated total energy ... -7.480 eV per atom
Size of the total moment ... 0.00 μB/f.u.

---

Here is an optimized crystal structure of LiMoRu from Alexandria. Energies are from PBE.

CIF file:
```
data_LiMoRu
_cell_length_a 4.1684
_cell_length_b 4.6925
_cell_length_c 5.8219
_cell_angle_alpha 113.77
_cell_angle_beta 110.98
_cell_angle_gamma 90.00
_symmetry_space_group_name_H-M 'P 1'
_symmetry_Int_Tables_number 1
_symmetry_space_group_name_Hall 'P 1'
loop_
_atom_site_label
_atom_site_fract_x
_atom_site_fract_y
_atom_site_fract_z
Ru1 0.1306 0.6306 0.2612
Ru2 0.8694 0.3694 0.7388
Mo1 0.7698 0.7698 0.5396
Mo2 0.2302 0.2302 0.4604
Li1 0.5000 0.7588 0.0000
Li2 0.5000 0.2412 0.0000
```

ΔH_f (0 K) ... 23.85 kJ/mol of atoms
Calculated total energy ... -7.093 eV per atom
Size of the total moment ... 0.00 μB/f.u.

---

Here is an optimized crystal structure of LiMoRu2 from Alexandria. Energies are from PBE.

CIF file:
```
data_LiMoRu2
_cell_length_a 4.8851
_cell_length_b 4.8851
_cell_length_c 4.6057
_cell_angle_alpha 79.37
_cell_angle_beta 79.37
_cell_angle_gamma 32.15
_symmetry_space_group_name_H-M 'P 1'
_symmetry_Int_Tables_number 1
_symmetry_space_group_name_Hall 'P 1'
loop_
_atom_site_label
_atom_site_fract_x
_atom_site_fract_y
_atom_site_fract_z
Ru1 0.7346 0.7346 0.7487
Ru2 0.0096 0.0096 0.0023
Mo1 0.2626 0.2626 0.2338
Li1 0.4932 0.4932 0.5151
```

ΔH_f (0 K) ... 22.39 kJ/mol of atoms
Calculated total energy ... -7.592 eV per atom
Size of the total moment ... 0.00 μB/f.u.

---

Here is an optimized crystal structure of LiMoRu2 from Alexandria. Energies are from PBE.

CIF file:
```
data_LiMoRu2
_cell_length_a 4.9130
_cell_length_b 4.9130
_cell_length_c 4.9130
_cell_angle_alpha 143.74
_cell_angle_beta 125.08
_cell_angle_gamma 67.60
_symmetry_space_group_name_H-M 'P 1'
_symmetry_Int_Tables_number 1
_symmetry_space_group_name_Hall 'P 1'
loop_
_atom_site_label
_atom_site_fract_x
_atom_site_fract_y
_atom_site_fract_z
Li1 0.7500 0.2500 0.5000
Ru1 0.4925 0.4925 0.0000
Ru2 0.0075 0.0075 0.0000
Mo1 0.2500 0.7500 0.5000
```

ΔH_f (0 K) ... 19.60 kJ/mol of atoms
Calculated total energy ... -7.621 eV per atom
Size of the total moment ... 0.00 μB/f.u.

---

Here is an optimized crystal structure of LiMoRu2 from Alexandria. Energies are from PBE.

CIF file:
```
data_LiMoRu2
_cell_length_a 4.2876
_cell_length_b 4.2876
_cell_length_c 4.2876
_cell_angle_alpha 60.00
_cell_angle_beta 60.00
_cell_angle_gamma 60.00
_symmetry_space_group_name_H-M 'P 1'
_symmetry_Int_Tables_number 1
_symmetry_space_group_name_Hall 'P 1'
loop_
_atom_site_label
_atom_site_fract_x
_atom_site_fract_y
_atom_site_fract_z
Mo1 0.2500 0.2500 0.2500
Ru1 0.0000 0.0000 0.0000
Ru2 0.7500 0.7500 0.7500
Li1 0.5000 0.5000 0.5000
```

ΔH_f (0 K) ... 32.28 kJ/mol of atoms
Calculated total energy ... -7.490 eV per atom
Size of the total moment ... 0.00 μB/f.u.

---

Here is an optimized crystal structure of LiMo2Ru from Alexandria. Energies are from PBE.

CIF file:
```
data_LiMo2Ru
_cell_length_a 4.3057
_cell_length_b 2.6632
_cell_length_c 5.1403
_cell_angle_alpha 81.93
_cell_angle_beta 90.00
_cell_angle_gamma 90.00
_symmetry_space_group_name_H-M 'P 1'
_symmetry_Int_Tables_number 1
_symmetry_space_group_name_Hall 'P 1'
loop_
_atom_site_label
_atom_site_fract_x
_atom_site_fract_y
_atom_site_fract_z
Li1 0.5000 0.7304 0.7485
Mo1 0.5000 0.2565 0.2577
Mo2 0.0000 0.0239 0.9880
Ru1 0.0000 0.4892 0.5058
```

ΔH_f (0 K) ... 22.12 kJ/mol of atoms
Calculated total energy ... -7.984 eV per atom
Size of the total moment ... 0.00 μB/f.u.

---

Here is an optimized crystal structure of LiMoRu2 from Alexandria. Energies are from PBE.

CIF file:
```
data_LiMoRu2
_cell_length_a 2.7071
_cell_length_b 4.0332
_cell_length_c 5.0915
_cell_angle_alpha 90.00
_cell_angle_beta 90.00
_cell_angle_gamma 90.00
_symmetry_space_group_name_H-M 'P 1'
_symmetry_Int_Tables_number 1
_symmetry_space_group_name_Hall 'P 1'
loop_
_atom_site_label
_atom_site_fract_x
_atom_site_fract_y
_atom_site_fract_z
Li1 0.0000 0.0000 0.4885
Ru1 0.5000 0.5000 0.2692
Ru2 0.0000 0.0000 0.9980
Mo1 0.5000 0.5000 0.7443
```

ΔH_f (0 K) ... 18.01 kJ/mol of atoms
Calculated total energy ... -7.638 eV per atom
Size of the total moment ... 0.00 μB/f.u.

---

Here is an optimized crystal structure of LiMo3Ru from Alexandria. Energies are from PBE.

CIF file:
```
data_LiMo3Ru
_cell_length_a 4.7272
_cell_length_b 4.7272
_cell_length_c 4.7272
_cell_angle_alpha 90.00
_cell_angle_beta 90.00
_cell_angle_gamma 90.00
_symmetry_space_group_name_H-M 'P 1'
_symmetry_Int_Tables_number 1
_symmetry_space_group_name_Hall 'P 1'
loop_
_atom_site_label
_atom_site_fract_x
_atom_site_fract_y
_atom_site_fract_z
Li1 0.5000 0.5000 0.5000
Ru1 0.0000 0.0000 0.0000
Mo1 0.0000 0.5000 0.0000
Mo2 0.5000 0.0000 0.0000
Mo3 0.0000 0.0000 0.5000
```

ΔH_f (0 K) ... 150.09 kJ/mol of atoms
Calculated total energy ... -7.181 eV per atom
Size of the total moment ... 0.80 μB/f.u.